Record 1
VASP calculation (SCAN) on BaMnAg at its PBEsol-relaxed geometry.

Cell: 6.369 6.369 6.369 Å, 146.83 146.83 47.61°
Element x y z (fractional)
Ba 0.000 0.000 0.000
Mn 0.283 0.283 0.000
Ag 0.708 0.708 0.000

Calculated values
energy relative to the elements = 0.08 eV per atom
electronic total energy = -29.65 eV per atom



Record 2
VASP calculation (SCAN) on BaMnV2Ag2O8 at its PBEsol-relaxed geometry.

Cell: 5.481 5.481 7.242 Å, 90.00 90.00 120.00°
Element x y z (fractional)
Ba 0.000 0.000 0.000
Mn 0.000 0.000 0.500
V 0.333 0.667 0.747
V 0.667 0.333 0.253
Ag 0.333 0.667 0.309
Ag 0.667 0.333 0.691
O 0.077 0.330 0.676
O 0.253 0.923 0.676
O 0.330 0.253 0.324
O 0.333 0.667 0.980
O 0.667 0.333 0.020
O 0.670 0.747 0.676
O 0.747 0.077 0.324
O 0.923 0.670 0.324

Calculated values
formation energy from raw total energies = -2.213 eV per atom
electronic total energy = -16.88 eV per atom



Record 3
VASP calculation (SCAN) on BaAg3Mo at its PBEsol-relaxed geometry.

Cell: 5.111 5.111 5.111 Å, 90.00 90.00 90.00°
Element x y z (fractional)
Ba 0.000 0.000 0.000
Ag 0.000 0.500 0.500
Ag 0.500 0.000 0.500
Ag 0.500 0.500 0.000
Mo 0.500 0.500 0.500

Calculated values
energy relative to the elements = 0.71 eV per atom
electronic total energy = -32.99 eV per atom



Record 4
VASP calculation (SCAN) on BaAg2Mo at its PBEsol-relaxed geometry.

Cell: 5.449 5.449 5.449 Å, 131.45 131.45 71.11°
Element x y z (fractional)
Ba 0.000 0.000 0.000
Ag 0.250 0.750 0.500
Ag 0.500 0.500 0.000
Mo 0.750 0.250 0.500

Calculated values
energy relative to the elements = 0.83 eV per atom
electronic total energy = -33.46 eV per atom



Record 5
VASP calculation (SCAN) on Rb2BaAgMo at its PBEsol-relaxed geometry.

Cell: 7.021 7.021 5.166 Å, 90.00 90.00 90.00°
Element x y z (fractional)
Rb 0.000 0.500 0.000
Rb 0.500 0.000 0.000
Ba 0.000 0.000 0.000
Ag 0.500 0.500 0.500
Mo 0.000 0.000 0.500

Calculated values
energy relative to the elements = 1.49 eV per atom
electronic total energy = -27.96 eV per atom



Record 6
VASP calculation (SCAN) on BaSiAgMo2 at its PBEsol-relaxed geometry.

Cell: 5.160 5.160 4.635 Å, 90.00 90.00 90.00°
Element x y z (fractional)
Ba 0.000 0.000 0.000
Si 0.500 0.500 0.000
Ag 0.500 0.500 0.500
Mo 0.000 0.500 0.500
Mo 0.500 0.000 0.500

Calculated values
formation energy from raw total energies = 1.470 eV per atom
electronic total energy = -28.67 eV per atom



Record 7
VASP calculation (SCAN) on BaAg2RuN at its PBEsol-relaxed geometry.

Cell: 5.262 5.262 3.755 Å, 90.00 90.00 90.00°
Element x y z (fractional)
Ba 0.000 0.000 0.000
Ag 0.000 0.500 0.500
Ag 0.500 0.000 0.500
Ru 0.500 0.500 0.500
N 0.500 0.500 0.000

Calculated values
formation energy from raw total energies = 0.170 eV per atom
electronic total energy = -29.11 eV per atom



Record 8
VASP calculation (SCAN) on Ba2AgRuN at its PBEsol-relaxed geometry.

Cell: 6.063 6.063 4.772 Å, 90.00 90.00 90.00°
Element x y z (fractional)
Ba 0.000 0.500 0.000
Ba 0.500 0.000 0.000
Ag 0.000 0.000 0.000
Ru 0.000 0.000 0.500
N 0.500 0.500 0.500

Calculated values
formation energy from raw total energies = 1.228 eV per atom
electronic total energy = -29.69 eV per atom



Record 9
VASP calculation (SCAN) on BaAgSN2 at its PBEsol-relaxed geometry.

Cell: 4.281 4.281 4.451 Å, 90.00 90.00 90.00°
Element x y z (fractional)
Ba 0.000 0.000 0.000
Ag 0.500 0.500 0.000
S 0.500 0.500 0.500
N 0.000 0.500 0.500
N 0.500 0.000 0.500

Calculated values
formation energy from raw total energies = 0.939 eV per atom
electronic total energy = -18.89 eV per atom



Record 10
VASP calculation (SCAN) on BaNa3Ag at its PBEsol-relaxed geometry.

Cell: 5.706 5.706 5.706 Å, 90.00 90.00 90.00°
Element x y z (fractional)
Ba 0.000 0.000 0.000
Na 0.000 0.500 0.500
Na 0.500 0.000 0.500
Na 0.500 0.500 0.000
Ag 0.500 0.500 0.500

Calculated values
energy relative to the elements = 0.06 eV per atom
electronic total energy = -16.65 eV per atom



Record 11
VASP calculation (SCAN) on BaNaAg3 at its PBEsol-relaxed geometry.

Cell: 6.078 6.078 6.078 Å, 90.00 90.00 90.00°
Element x y z (fractional)
Ba 0.000 0.000 0.000
Na 0.500 0.500 0.500
Ag 0.000 0.000 0.500
Ag 0.000 0.500 0.000
Ag 0.500 0.000 0.000

Calculated values
energy relative to the elements = 0.66 eV per atom
electronic total energy = -26.91 eV per atom



Record 12
VASP calculation (SCAN) on BaNa2Ag2 at its PBEsol-relaxed geometry.

Cell: 7.731 7.731 7.731 Å, 145.71 145.71 49.28°
Element x y z (fractional)
Ba 0.000 0.000 0.000
Na 0.250 0.750 0.500
Na 0.750 0.250 0.500
Ag 0.403 0.403 0.000
Ag 0.597 0.597 0.000

Calculated values
energy relative to the elements = -0.13 eV per atom
electronic total energy = -22.27 eV per atom



Record 13
VASP calculation (SCAN) on Ba2NaAg at its PBEsol-relaxed geometry.

Cell: 5.968 5.968 5.968 Å, 60.00 60.00 60.00°
Element x y z (fractional)
Ba 0.250 0.250 0.250
Ba 0.750 0.750 0.750
Na 0.000 0.000 0.000
Ag 0.500 0.500 0.500

Calculated values
energy relative to the elements = -0.04 eV per atom
electronic total energy = -28.71 eV per atom



Record 14
VASP calculation (SCAN) on Ba2NaAg2 at its PBEsol-relaxed geometry.

Cell: 8.689 8.689 4.533 Å, 90.00 90.00 90.00°
Element x y z (fractional)
Ba 0.173 0.327 0.000
Ba 0.327 0.827 0.000
Ba 0.673 0.173 0.000
Ba 0.827 0.673 0.000
Na 0.000 0.000 0.500
Na 0.500 0.500 0.500
Ag 0.117 0.617 0.500
Ag 0.383 0.117 0.500
Ag 0.617 0.883 0.500
Ag 0.883 0.383 0.500

Calculated values
energy relative to the elements = -0.22 eV per atom
electronic total energy = -29.43 eV per atom



Record 15
VASP calculation (SCAN) on BaNaAg2 at its PBEsol-relaxed geometry.

Cell: 5.440 5.440 5.440 Å, 60.00 60.00 60.00°
Element x y z (fractional)
Ba 0.000 0.000 0.000
Na 0.500 0.500 0.500
Ag 0.250 0.250 0.250
Ag 0.750 0.750 0.750

Calculated values
energy relative to the elements = -0.10 eV per atom
electronic total energy = -26.72 eV per atom



Record 16
VASP calculation (SCAN) on Ba2NbAg at its PBEsol-relaxed geometry.

Cell: 5.701 5.701 5.701 Å, 60.00 60.00 60.00°
Element x y z (fractional)
Ba 0.250 0.250 0.250
Ba 0.750 0.750 0.750
Nb 0.000 0.000 0.000
Ag 0.500 0.500 0.500

Calculated values
energy relative to the elements = 0.60 eV per atom
electronic total energy = -35.30 eV per atom



Record 17
VASP calculation (SCAN) on BaNi2Ag at its PBEsol-relaxed geometry.

Cell: 3.150 3.516 6.738 Å, 90.00 90.00 90.00°
Element x y z (fractional)
Ba 0.000 0.000 0.000
Ni 0.500 0.500 0.325
Ni 0.500 0.500 0.675
Ag 0.000 0.000 0.500

Calculated values
energy relative to the elements = 0.52 eV per atom
electronic total energy = -25.30 eV per atom



Record 18
VASP calculation (SCAN) on BaNi2Ag at its PBEsol-relaxed geometry.

Cell: 5.337 5.337 5.337 Å, 135.37 135.37 64.95°
Element x y z (fractional)
Ba 0.000 0.000 0.000
Ni 0.500 0.500 0.000
Ni 0.750 0.250 0.500
Ag 0.250 0.750 0.500

Calculated values
energy relative to the elements = 0.69 eV per atom
electronic total energy = -25.13 eV per atom



Record 19
VASP calculation (SCAN) on BaNiAg4 at its PBEsol-relaxed geometry.

Cell: 5.552 5.552 5.552 Å, 60.00 60.00 60.00°
Element x y z (fractional)
Ba 0.000 0.000 0.000
Ni 0.250 0.250 0.250
Ag 0.129 0.624 0.624
Ag 0.624 0.129 0.624
Ag 0.624 0.624 0.129
Ag 0.624 0.624 0.624

Calculated values
energy relative to the elements = 0.19 eV per atom
electronic total energy = -30.01 eV per atom



Record 20
VASP calculation (SCAN) on Ba2ZnAg2Se2O2 at its PBEsol-relaxed geometry.

Cell: 10.317 10.317 6.025 Å, 90.00 90.00 33.96°
Element x y z (fractional)
Ba 0.089 0.089 0.000
Ba 0.411 0.411 0.500
Ba 0.589 0.589 0.500
Ba 0.911 0.911 0.000
Zn 0.000 0.000 0.500
Zn 0.500 0.500 0.000
Ag 0.002 0.498 0.250
Ag 0.498 0.002 0.750
Ag 0.502 0.998 0.250
Ag 0.998 0.502 0.750
Se 0.164 0.164 0.500
Se 0.336 0.336 0.000
Se 0.664 0.664 0.000
Se 0.836 0.836 0.500
O 0.219 0.781 0.719
O 0.281 0.719 0.219
O 0.719 0.281 0.781
O 0.781 0.219 0.281

Calculated values
formation energy from raw total energies = -1.563 eV per atom
electronic total energy = -24.67 eV per atom



Record 21
VASP calculation (SCAN) on BaAg2Os at its PBEsol-relaxed geometry.

Cell: 10.425 10.425 10.425 Å, 16.48 16.48 16.48°
Element x y z (fractional)
Ba 0.000 0.000 0.000
Ag 0.237 0.237 0.237
Ag 0.763 0.763 0.763
Os 0.500 0.500 0.500

Calculated values
ΔE to the lowest computed polymorph = 304 meV per atom
energy relative to the elements = 1.09 eV per atom
electronic total energy = -42.45 eV per atom



Record 22
VASP calculation (SCAN) on Ba2AgOs at its PBEsol-relaxed geometry.

Cell: 8.549 8.549 8.549 Å, 30.61 30.61 30.61°
Element x y z (fractional)
Ba 0.000 0.000 0.000
Ba 0.167 0.167 0.167
Ag 0.417 0.417 0.417
Os 0.750 0.750 0.750

Calculated values
energy relative to the elements = 0.39 eV per atom
electronic total energy = -45.19 eV per atom



Record 23
VASP calculation (SCAN) on BaAg2Os at its PBEsol-relaxed geometry.

Cell: 4.853 4.853 6.459 Å, 96.27 96.27 35.13°
Element x y z (fractional)
Ba 0.000 0.000 0.000
Ag 0.235 0.235 0.663
Ag 0.497 0.497 0.472
Os 0.759 0.759 0.311

Calculated values
ΔE to the lowest computed polymorph = 0 meV per atom
energy relative to the elements = 0.79 eV per atom
electronic total energy = -42.75 eV per atom



Record 24
VASP calculation (SCAN) on BaAgSbP2 at its PBEsol-relaxed geometry.

Cell: 5.032 5.032 6.423 Å, 90.00 90.00 90.00°
Element x y z (fractional)
Ba 0.000 0.000 0.000
Ag 0.500 0.500 0.000
Sb 0.000 0.000 0.500
P 0.000 0.500 0.500
P 0.500 0.000 0.500

Calculated values
formation energy from raw total energies = 0.609 eV per atom
electronic total energy = -25.19 eV per atom



Record 25
VASP calculation (SCAN) on BaAgPb at its PBEsol-relaxed geometry.

Cell: 5.090 5.090 4.076 Å, 90.00 90.00 120.00°
Element x y z (fractional)
Ba 0.000 0.000 0.000
Ag 0.667 0.333 0.500
Pb 0.333 0.667 0.500

Calculated values
energy relative to the elements = -0.55 eV per atom
electronic total energy = -49.45 eV per atom



Record 26
VASP calculation (SCAN) on Ba2AgPb at its PBEsol-relaxed geometry.

Cell: 5.968 5.968 3.990 Å, 90.00 90.00 90.00°
Element x y z (fractional)
Ba 0.000 0.500 0.000
Ba 0.500 0.000 0.000
Ag 0.000 0.000 0.500
Pb 0.500 0.500 0.500

Calculated values
energy relative to the elements = -0.52 eV per atom
electronic total energy = -47.08 eV per atom



Record 27
VASP calculation (SCAN) on BaAg4Pb at its PBEsol-relaxed geometry.

Cell: 5.731 5.731 5.731 Å, 60.00 60.00 60.00°
Element x y z (fractional)
Ba 0.000 0.000 0.000
Ag 0.126 0.625 0.625
Ag 0.625 0.126 0.625
Ag 0.625 0.625 0.126
Ag 0.625 0.625 0.625
Pb 0.250 0.250 0.250

Calculated values
energy relative to the elements = -0.20 eV per atom
electronic total energy = -40.33 eV per atom



Record 28
VASP calculation (SCAN) on BaAg2Pb at its PBEsol-relaxed geometry.

Cell: 6.154 6.154 6.154 Å, 47.01 47.01 47.01°
Element x y z (fractional)
Ba 0.000 0.000 0.000
Ag 0.203 0.203 0.203
Ag 0.797 0.797 0.797
Pb 0.500 0.500 0.500

Calculated values
energy relative to the elements = -0.29 eV per atom
electronic total energy = -44.81 eV per atom